Entry 1:
This record from Alexandria via LeMat-Bulk describes a relaxed TaMo2H crystal. The functional is PBE-GGA.

Results
**Space group**: Fm-3m, No. 225
**E above lowest polymorph**: 2.150 eV/f.u.

Cell lengths 4.368, 4.368, 4.368 Å; angles 60.00, 60.00, 60.00 degrees
Positions (direct):
Ta 0.500 0.500 0.500
H 0.000 0.000 0.000
Mo 0.250 0.250 0.250
Mo 0.750 0.750 0.750

=====

Entry 2:
This record from Alexandria via LeMat-Bulk describes a relaxed PaIClO crystal. The functional is PBE-GGA.

Results
**Space group**: Cm, No. 8
**Energy relative to the elements, uncorrected**: -2236 meV/atom

Cell lengths 3.885, 3.885, 8.567 Å; angles 90.09, 103.01, 120.00 degrees
Site moments in Bohr magnetons follow the coordinates.
Positions (direct):
O 0.831 0.280 0.111  -0.03
I 0.356 0.044 0.400  -0.02
Cl 0.007 0.867 0.874  0.00
Pa 0.498 0.613 0.111  0.95

=====

Entry 3:
This record from Alexandria via LeMat-Bulk describes a relaxed Zr2SbIrRh crystal. The functional is PBE-GGA.

Results
**Space group**: P4/mmm, No. 123
**Energy relative to the elements, uncorrected**: 241 meV/atom

Cell lengths 5.006, 4.835, 5.006 Å; angles 90.00, 90.00, 90.00 degrees
Positions (direct):
Zr 0.000 0.000 0.500
Zr 0.500 0.000 0.000
Sb 0.500 0.500 0.500
Rh 0.000 0.500 0.000
Ir 0.000 0.000 0.000

=====

Entry 4:
This record from Alexandria via LeMat-Bulk describes a relaxed NaHf2Ta crystal. The functional is PBE-GGA.

Results
**Space group**: I-42d, No. 122
**E above lowest polymorph**: 2.116 eV/f.u.
**Formation energy**: 1.15 eV/atom

Cell lengths 4.244, 4.244, 10.463 Å; angles 78.30, 78.30, 90.00 degrees
Positions (direct):
Hf 0.375 0.358 0.750
Hf 0.108 0.625 0.250
Hf 0.875 0.892 0.750
Hf 0.642 0.125 0.250
Na 0.500 0.500 0.000
Na 0.250 0.750 0.500
Ta 0.750 0.250 0.500
Ta 0.000 0.000 0.000

=====

What is the formula in the first record?
TaMo2H